1.
Material: Pm2Pr5NdHo
Method: DFT, GGA-PBE
State: relaxed

Cell: 8.9657 8.9657 10.1911 Å, 116.10 116.10 90.00°
Element x y z (fractional)
Pr 0.6513 0.1513 0.7218
Pr 0.5705 0.6513 0.7218
Pr 0.0705 0.5705 0.7218
Pr 0.3487 0.8487 0.2782
Pr 0.1513 0.0705 0.7218
Pr 0.0000 0.0000 0.0000
Pr 0.8487 0.9295 0.2782
Pr 0.4295 0.3487 0.2782
Pr 0.9295 0.4295 0.2782
Pr 0.5000 0.5000 0.0000
Ho 0.2500 0.7500 0.5000
Ho 0.7500 0.2500 0.5000
Pm 0.1164 0.3836 0.0000
Pm 0.8836 0.6164 0.0000
Pm 0.6164 0.1164 0.0000
Pm 0.3836 0.8836 0.0000
Nd 0.2500 0.2500 0.5000
Nd 0.7500 0.7500 0.5000

Computed properties:
**M_tot**: 0.0 μB/cell
**Space group**: I4/mcm (140)

***

2.
Material: PmPrNdHo3
Method: DFT, GGA-PBE
State: relaxed

Cell: 5.6418 10.4046 7.0915 Å, 90.05 90.00 105.73°
Element x y z (fractional)
Pr 0.3525 0.7050 0.9635
Pr 0.6475 0.2950 0.0365
Ho 0.5236 0.0472 0.7470
Ho 0.1651 0.3302 0.7458
Ho 0.8349 0.6698 0.2542
Ho 0.2215 0.4431 0.2494
Ho 0.4764 0.9528 0.2530
Ho 0.7785 0.5569 0.7506
Nd 0.9450 0.8901 0.7460
Nd 0.0550 0.1099 0.2540
Pm 0.6484 0.2968 0.4615
Pm 0.3516 0.7032 0.5385

Computed properties:
**M_tot**: 0.0 μB/cell
**Space group**: C2/m (12)

***

3.
Material: PmPr3Nd2Ho6
Method: DFT, GGA-PBE
State: relaxed

Cell: 6.2711 6.2711 11.8270 Å, 95.06 95.06 119.99°
Element x y z (fractional)
Pm 0.0000 0.0000 0.0000
Pr 0.1668 0.8332 0.5000
Pr 0.8332 0.1668 0.5000
Pr 0.5000 0.5000 0.5000
Ho 0.4162 0.0830 0.2489
Ho 0.5838 0.9170 0.7511
Ho 0.7498 0.7498 0.2490
Ho 0.2502 0.2502 0.7510
Ho 0.0830 0.4162 0.2489
Ho 0.9170 0.5838 0.7511
Nd 0.3334 0.6666 0.0000
Nd 0.6666 0.3334 0.0000

Computed properties:
**M_tot**: 0.0 μB/cell
**Space group**: C2/m (12)

***

4.
Material: Pm4Pr2NdHo
Method: DFT, GGA-PBE
State: relaxed

Cell: 9.6567 9.6567 12.0078 Å, 128.33 128.33 88.36°
Element x y z (fractional)
Pr 0.0000 0.0000 0.5000
Pr 0.5000 0.5000 0.0000
Pr 0.5000 0.0000 0.5000
Pr 0.5000 0.0000 0.0000
Ho 0.5000 0.5000 0.5000
Ho 0.0000 0.0000 0.0000
Pm 0.7780 0.7772 0.5322
Pm 0.7442 0.2569 0.5015
Pm 0.7569 0.2442 0.0015
Pm 0.7228 0.7220 0.9678
Pm 0.2431 0.7558 0.9985
Pm 0.2772 0.2780 0.0322
Pm 0.2220 0.2228 0.4678
Pm 0.2558 0.7431 0.4985
Nd 0.0000 0.5000 0.5000
Nd 0.0000 0.5000 0.0000

Computed properties:
**M_tot**: 0.0 μB/cell
**Space group**: C2/c (15)

***

5.
Material: PmPr5NdHo2
Method: DFT, GGA-PBE
State: relaxed

Cell: 5.7564 10.7302 10.7279 Å, 90.00 90.00 105.56°
Element x y z (fractional)
Pr 0.7045 0.4089 0.2043
Pr 0.7198 0.4396 0.8113
Pr 0.2955 0.5911 0.7043
Pr 0.6100 0.2201 0.5265
Pr 0.5226 0.0452 0.2418
Pr 0.4774 0.9548 0.7418
Pr 0.2802 0.5604 0.3113
Pr 0.3900 0.7799 0.0265
Pr 0.9838 0.9677 0.5223
Pr 0.0162 0.0323 0.0223
Ho 0.8825 0.7650 0.8216
Ho 0.1175 0.2350 0.3216
Ho 0.1124 0.2249 0.7349
Ho 0.8876 0.7751 0.2349
Nd 0.4121 0.8242 0.4508
Nd 0.5879 0.1758 0.9508
Pm 0.1994 0.3989 0.0105
Pm 0.8006 0.6011 0.5105

Computed properties:
**M_tot**: 0.0 μB/cell
**Space group**: Cmc2_1 (36)

***

6.
Material: Pm2Pr4NdHo2
Method: DFT, GGA-PBE
State: relaxed

Cell: 5.1742 8.1813 8.1539 Å, 107.52 90.00 108.43°
Element x y z (fractional)
Pr 0.2226 0.4451 0.3298
Pr 0.7774 0.5549 0.6702
Pr 0.4454 0.8908 0.6689
Pr 0.5546 0.1092 0.3311
Nd 0.0000 0.0000 0.0000
Ho 0.6680 0.3360 0.9992
Ho 0.3320 0.6640 0.0008
Pm 0.1118 0.2235 0.6691
Pm 0.8882 0.7765 0.3309

Computed properties:
**M_tot**: 0.0 μB/cell
**Space group**: C2/m (12)

***

Results for VASP energy: -4.474 -4.491 -4.662 -4.364 -4.587 -4.709 (in eV per atom, following the order of the records).
Results for formation energy: 0.27 0.18 0.01 0.37 0.14 0.02 (in eV/atom, following the order of the records).
Results for Fermi-level density of states: 30.39 17.46 12.98 39.69 27.72 14.20 (in states/eV/cell, following the order of the records).